# MnAs2W, optimized geometry, DFT PBE-GGA
# Spin magnetization   2.6 Bohr magnetons per cell
# SG   F-43m (216)
# Energy of formation   517 meV per atom
# ΔE to the lowest computed polymorph   506 meV per atom
data_MnAs2W
_cell_length_a 4.456
_cell_length_b 4.456
_cell_length_c 4.456
_cell_angle_alpha 60.00
_cell_angle_beta 60.00
_cell_angle_gamma 60.00
_symmetry_space_group_name_H-M 'P 1'
_symmetry_Int_Tables_number 1
_symmetry_space_group_name_Hall 'P 1'
loop_
_atom_site_label
_atom_site_type_symbol
_atom_site_fract_x
_atom_site_fract_y
_atom_site_fract_z
Mn1 Mn 0.000 0.000 0.000
As1 As 0.500 0.500 0.500
As2 As 0.750 0.750 0.750
W1 W 0.250 0.250 0.250



# ThSiBrO4, optimized geometry, DFT PBE-GGA
# Spin magnetization   0.0 Bohr magnetons per cell
# ΔE_f (raw)   -19.1 eV per formula unit
# SG   C2/m (12)
data_ThSiBrO4
_cell_length_a 6.600
_cell_length_b 6.600
_cell_length_c 6.811
_cell_angle_alpha 99.70
_cell_angle_beta 99.70
_cell_angle_gamma 58.24
_symmetry_space_group_name_H-M 'P 1'
_symmetry_Int_Tables_number 1
_symmetry_space_group_name_Hall 'P 1'
loop_
_atom_site_label
_atom_site_type_symbol
_atom_site_fract_x
_atom_site_fract_y
_atom_site_fract_z
Th1 Th 0.202 0.202 0.318
Th2 Th 0.798 0.798 0.682
Si1 Si 0.134 0.134 0.758
Si2 Si 0.866 0.866 0.242
Br1 Br 0.479 0.479 0.828
Br2 Br 0.521 0.521 0.172
O1 O 0.009 0.009 0.269
O2 O 0.018 0.621 0.367
O3 O 0.197 0.197 0.993
O4 O 0.379 0.982 0.633
O5 O 0.621 0.018 0.367
O6 O 0.803 0.803 0.007
O7 O 0.982 0.379 0.633
O8 O 0.991 0.991 0.731



# Mg3HgPd4, optimized geometry, DFT PBE-GGA
# Spin magnetization   0.0 Bohr magnetons per cell
# SG   R-3m (166)
# Energy of formation   -607 meV per atom
data_Mg3HgPd4
_cell_length_a 7.908
_cell_length_b 7.908
_cell_length_c 7.908
_cell_angle_alpha 33.35
_cell_angle_beta 33.35
_cell_angle_gamma 33.35
_symmetry_space_group_name_H-M 'P 1'
_symmetry_Int_Tables_number 1
_symmetry_space_group_name_Hall 'P 1'
loop_
_atom_site_label
_atom_site_type_symbol
_atom_site_fract_x
_atom_site_fract_y
_atom_site_fract_z
Mg1 Mg 0.000 0.000 0.000
Mg2 Mg 0.249 0.249 0.249
Mg3 Mg 0.751 0.751 0.751
Hg1 Hg 0.500 0.500 0.500
Pd1 Pd 0.120 0.120 0.120
Pd2 Pd 0.372 0.372 0.372
Pd3 Pd 0.628 0.628 0.628
Pd4 Pd 0.880 0.880 0.880